{"formula": "Zr6ReAu", "functional": "PBE", "state": "optimized geometry", "lattice_angstrom": [[-2.356, 2.356, 7.595], [2.356, -2.356, 7.595], [2.356, 2.356, -7.595]], "species": ["Zr", "Zr", "Zr", "Zr", "Zr", "Zr", "Re", "Au"], "fractional_positions": [[0.112, 0.612, 0.500], [0.247, 0.247, 0.000], [0.388, 0.888, 0.500], [0.612, 0.112, 0.500], [0.753, 0.753, 0.000], [0.888, 0.388, 0.500], [0.000, 0.000, 0.000], [0.500, 0.500, 0.000]], "rho_g_cm3": 9.17, "dos_ef_per_ev_atom": 0.875, "magmom_total_mub_per_fu": 0.000, "e_form_ev_per_atom": -0.181, "sg": "I4/mmm, No. 139", "final_energy_ev_per_atom": -8.557}



{"formula": "ZrReAu2", "functional": "PBE", "state": "optimized geometry", "lattice_angstrom": [[-2.063, 2.063, 4.199], [2.063, -2.063, 4.199], [2.063, 2.063, -4.199]], "species": ["Zr", "Re", "Au", "Au"], "fractional_positions": [[0.000, 0.000, 0.000], [0.250, 0.750, 0.500], [0.500, 0.500, 0.000], [0.750, 0.250, 0.500]], "rho_g_cm3": 15.60, "dos_ef_per_ev_atom": 1.022, "magmom_total_mub_per_fu": 0.674, "e_form_ev_per_atom": 0.048, "e_above_lowest_polymorph_mev_per_atom": 103, "sg": "I-4m2, No. 119", "final_energy_ev_per_atom": -6.840}



{"formula": "ZrReAu3", "functional": "PBE", "state": "optimized geometry", "lattice_angstrom": [[4.949, 0.000, 0.000], [0.000, 4.949, 0.000], [0.000, 0.000, 4.949]], "species": ["Zr", "Re", "Au", "Au", "Au"], "fractional_positions": [[0.000, 0.000, 0.000], [0.500, 0.500, 0.500], [0.000, 0.500, 0.500], [0.500, 0.000, 0.500], [0.500, 0.500, 0.000]], "rho_g_cm3": 11.90, "dos_ef_per_ev_atom": 1.277, "magmom_total_mub_per_fu": 0.001, "e_form_ev_per_atom": 1.134, "e_above_lowest_polymorph_mev_per_atom": 0, "sg": "Pm-3m, No. 221", "final_energy_ev_per_atom": -5.032}



{"formula": "ZrRe2Au", "functional": "PBE", "state": "optimized geometry", "lattice_angstrom": [[3.071, 0.000, 0.000], [0.000, 3.071, 0.000], [0.000, 0.000, 7.501]], "species": ["Zr", "Re", "Re", "Au"], "fractional_positions": [[0.000, 0.000, 0.000], [0.000, 0.000, 0.543], [0.500, 0.500, 0.732], [0.500, 0.500, 0.276]], "rho_g_cm3": 15.51, "dos_ef_per_ev_atom": 0.750, "magmom_total_mub_per_fu": 0.000, "e_form_ev_per_atom": -0.050, "e_above_lowest_polymorph_mev_per_atom": 0, "sg": "P4mm, No. 99", "final_energy_ev_per_atom": -9.231}



{"formula": "ZrReAu2", "functional": "PBE", "state": "optimized geometry", "lattice_angstrom": [[-2.022, 2.022, 4.329], [2.022, -2.022, 4.329], [2.022, 2.022, -4.329]], "species": ["Zr", "Re", "Au", "Au"], "fractional_positions": [[0.000, 0.000, 0.000], [0.500, 0.500, 0.000], [0.250, 0.750, 0.500], [0.750, 0.250, 0.500]], "rho_g_cm3": 15.75, "dos_ef_per_ev_atom": 1.119, "magmom_total_mub_per_fu": 0.012, "e_form_ev_per_atom": -0.021, "e_above_lowest_polymorph_mev_per_atom": 35, "sg": "I4/mmm, No. 139", "final_energy_ev_per_atom": -6.908}



{"formula": "ZrReAu4", "functional": "PBE", "state": "optimized geometry", "lattice_angstrom": [[0.000, 3.815, 3.815], [3.815, 0.000, 3.815], [3.815, 3.815, 0.000]], "species": ["Zr", "Re", "Au", "Au", "Au", "Au"], "fractional_positions": [[0.000, 0.000, 0.000], [0.250, 0.250, 0.250], [0.125, 0.625, 0.625], [0.625, 0.125, 0.625], [0.625, 0.625, 0.125], [0.625, 0.625, 0.625]], "rho_g_cm3": 15.93, "dos_ef_per_ev_atom": 1.298, "magmom_total_mub_per_fu": 0.000, "e_form_ev_per_atom": 0.378, "sg": "F-43m, No. 216", "final_energy_ev_per_atom": -5.306}



{"formula": "ZrRe2Au", "functional": "PBE", "state": "optimized geometry", "lattice_angstrom": [[4.805, -1.454, 0.000], [4.805, 1.454, 0.000], [-0.799, 0.000, 4.881]], "species": ["Zr", "Re", "Re", "Au"], "fractional_positions": [[0.000, 0.000, 0.000], [0.244, 0.244, 0.744], [0.756, 0.756, 0.256], [0.500, 0.500, 0.500]], "rho_g_cm3": 16.09, "dos_ef_per_ev_atom": 0.840, "magmom_total_mub_per_fu": 0.000, "e_form_ev_per_atom": 0.196, "e_above_lowest_polymorph_mev_per_atom": 247, "sg": "C2/m, No. 12", "final_energy_ev_per_atom": -8.984}



{"formula": "ZrReAu2", "functional": "PBE", "state": "optimized geometry", "lattice_angstrom": [[2.866, 0.000, 0.000], [0.000, 2.866, 0.000], [0.000, 0.000, 8.734]], "species": ["Zr", "Re", "Au", "Au"], "fractional_positions": [[0.000, 0.000, 0.000], [0.500, 0.500, 0.746], [0.000, 0.000, 0.516], [0.500, 0.500, 0.255]], "rho_g_cm3": 15.54, "dos_ef_per_ev_atom": 0.695, "magmom_total_mub_per_fu": 0.000, "e_form_ev_per_atom": 0.070, "e_above_lowest_polymorph_mev_per_atom": 125, "sg": "P4mm, No. 99", "final_energy_ev_per_atom": -6.818}